Record 1
Compound: ErTm2Ir
Source: Alexandria via LeMat-Bulk
Functional: PBE
Structure: optimized geometry

Cell: 3.675 3.675 10.593 Å, 80.01 80.01 60.00°
Atoms (fractional coordinates):
Tm  0.113  0.113  0.662
Tm  0.887  0.887  0.338
Ir  0.500  0.500  0.500
Er  0.000  0.000  0.000

Calculated values
Energy of formation ... -0.13 eV/atom
Calculated volume ... 121 Å³/cell

Record 2
Compound: ErTm2Ir
Source: Alexandria via LeMat-Bulk
Functional: PBE
Structure: optimized geometry

Cell: 6.345 7.172 9.051 Å, 90.00 90.00 90.00°
Atoms (fractional coordinates):
Tm  0.675  0.822  0.938
Tm  0.325  0.178  0.062
Tm  0.175  0.678  0.062
Tm  0.175  0.678  0.438
Tm  0.825  0.322  0.562
Tm  0.825  0.322  0.938
Tm  0.325  0.178  0.438
Tm  0.675  0.822  0.562
Ir  0.459  0.886  0.250
Ir  0.041  0.386  0.250
Ir  0.541  0.114  0.750
Ir  0.959  0.614  0.750
Er  0.875  0.033  0.250
Er  0.125  0.967  0.750
Er  0.625  0.533  0.250
Er  0.375  0.467  0.750

Calculated values
Energy of formation ... -0.63 eV/atom
Calculated volume ... 412 Å³/cell

no.,DOS(E_F) (states/eV/f.u.),E (eV per atom)
1,5.18,-5.72
2,3.44,-6.22